Entry 1:
Here is a relaxed Ca3CoRu crystal from the Alexandria database. Energies are from PBE-GGA.

Calculated values
The energy of formation comes out at 0.794 eV per atom.

Cell and atoms, written as CIF:
```
data_Ca3CoRu
_space_group_name_H-M_alt 'P m -3 m'
_space_group_IT_number 221
_space_group_name_Hall '-P 4 2 3'
_cell_length_a 5.1201
_cell_length_b 5.1201
_cell_length_c 5.1201
_cell_angle_alpha 90.00
_cell_angle_beta 90.00
_cell_angle_gamma 90.00
loop_
_atom_site_label
_atom_site_fract_x
_atom_site_fract_y
_atom_site_fract_z
_atom_site_occupancy
Ca1 0.0000 0.0000 0.5000 1
Co1 0.0000 0.0000 0.0000 1
Ru1 0.5000 0.5000 0.5000 1
```

***

Entry 2:
Here is a relaxed SnB2Br crystal from the Alexandria database. Energies are from PBE-GGA.

Calculated values
The energy above the most stable polymorph in this dataset is 609 meV per atom.

Cell and atoms, written as CIF:
```
data_SnB2Br
_space_group_name_H-M_alt 'F m -3 m'
_space_group_IT_number 225
_space_group_name_Hall '-F 4 2 3'
_cell_length_a 6.4566
_cell_length_b 6.4566
_cell_length_c 6.4566
_cell_angle_alpha 90.00
_cell_angle_beta 90.00
_cell_angle_gamma 90.00
loop_
_atom_site_label
_atom_site_fract_x
_atom_site_fract_y
_atom_site_fract_z
_atom_site_occupancy
Sn1 0.0000 0.0000 0.0000 1
B1 0.2500 0.2500 0.2500 1
Br1 0.0000 0.0000 0.5000 1
```

***

Entry 3:
Here is a relaxed TlCu2Pb2 crystal from the Alexandria database. Energies are from PBE-GGA.

Calculated values
The energy above the most stable polymorph in this dataset is 0 meV per atom. The energy of formation comes out at 0.203 eV per atom.

Cell and atoms, written as CIF:
```
data_TlCu2Pb2
_space_group_name_H-M_alt 'P 4/m b m'
_space_group_IT_number 127
_space_group_name_Hall '-P 4 2ab'
_cell_length_a 7.3464
_cell_length_b 7.3464
_cell_length_c 4.2174
_cell_angle_alpha 90.00
_cell_angle_beta 90.00
_cell_angle_gamma 90.00
loop_
_atom_site_label
_atom_site_fract_x
_atom_site_fract_y
_atom_site_fract_z
_atom_site_occupancy
Tl1 0.0000 0.0000 0.0000 1
Cu1 0.1209 0.3791 0.0000 1
Pb1 0.1691 0.6691 0.5000 1
```

***

Entry 4:
Here is a relaxed CaLaLuMg crystal from the Alexandria database. Energies are from PBE-GGA.

Calculated values
The energy of formation comes out at 0.068 eV per atom.

Cell and atoms, written as CIF:
```
data_CaLaLuMg
_space_group_name_H-M_alt 'F -4 3 m'
_space_group_IT_number 216
_space_group_name_Hall 'F -4 2 3'
_cell_length_a 8.0358
_cell_length_b 8.0358
_cell_length_c 8.0358
_cell_angle_alpha 90.00
_cell_angle_beta 90.00
_cell_angle_gamma 90.00
loop_
_atom_site_label
_atom_site_fract_x
_atom_site_fract_y
_atom_site_fract_z
_atom_site_occupancy
Ca1 0.0000 0.0000 0.0000 1
La1 0.0000 0.0000 0.5000 1
Lu1 0.2500 0.2500 0.7500 1
Mg1 0.2500 0.2500 0.2500 1
```

***

Entry 5:
Here is a relaxed LiTh crystal from the Alexandria database. Energies are from PBE-GGA.

Calculated values
The energy above the most stable polymorph in this dataset is 59 meV per atom. The energy of formation comes out at 0.199 eV per atom.

Cell and atoms, written as CIF:
```
data_LiTh
_space_group_name_H-M_alt 'C 1 2/m 1'
_space_group_IT_number 12
_space_group_name_Hall '-C 2y'
_cell_length_a 11.8988
_cell_length_b 3.4681
_cell_length_c 5.4453
_cell_angle_alpha 90.00
_cell_angle_beta 116.76
_cell_angle_gamma 90.00
loop_
_atom_site_label
_atom_site_fract_x
_atom_site_fract_y
_atom_site_fract_z
_atom_site_occupancy
Li1 0.1583 0.0000 0.4088 1
Th1 0.1121 0.5000 0.8637 1
```

***

Entry 6:
Here is a relaxed La4Tb4Y crystal from the Alexandria database. Energies are from PBE-GGA.

Calculated values
The energy above the most stable polymorph in this dataset is 734 meV per atom. The energy of formation comes out at 0.759 eV per atom.

Cell and atoms, written as CIF:
```
data_La4Tb4Y
_space_group_name_H-M_alt 'I -4 2 m'
_space_group_IT_number 121
_space_group_name_Hall 'I -4 2'
_cell_length_a 5.4815
_cell_length_b 5.4815
_cell_length_c 23.6030
_cell_angle_alpha 90.00
_cell_angle_beta 90.00
_cell_angle_gamma 90.00
loop_
_atom_site_label
_atom_site_fract_x
_atom_site_fract_y
_atom_site_fract_z
_atom_site_occupancy
La1 0.0000 0.0000 0.2477 1
La2 0.0000 0.5000 0.0000 1
Tb1 0.2484 0.2484 0.1279 1
Y1 0.0000 0.0000 0.5000 1
```

***

Entry 7:
Here is a relaxed NaLaNi2H8 crystal from the Alexandria database. Energies are from PBE-GGA.

Calculated values
The total energy is -3.928 eV/atom.

Cell and atoms, written as CIF:
```
data_NaLaNi2H8
_space_group_name_H-M_alt 'R -3'
_space_group_IT_number 148
_space_group_name_Hall '-R 3'
_cell_length_a 4.5716
_cell_length_b 4.5716
_cell_length_c 18.7159
_cell_angle_alpha 90.00
_cell_angle_beta 90.00
_cell_angle_gamma 120.00
loop_
_atom_site_label
_atom_site_fract_x
_atom_site_fract_y
_atom_site_fract_z
_atom_site_occupancy
Na1 0.0000 0.0000 0.0000 1
La1 0.0000 0.0000 0.5000 1
Ni1 0.0000 0.0000 0.3338 1
H1 0.0000 0.0000 0.1515 1
H2 0.0021 0.5693 0.0498 1
```

***

Entry 8:
Here is a relaxed SrLaPd2 crystal from the Alexandria database. Energies are from PBE-GGA.

Calculated values
The energy above the most stable polymorph in this dataset is 125 meV per atom. The energy of formation comes out at -0.587 eV per atom.

Cell and atoms, written as CIF:
```
data_SrLaPd2
_space_group_name_H-M_alt 'R 3 m'
_space_group_IT_number 160
_space_group_name_Hall 'R 3 -2"'
_cell_length_a 4.1964
_cell_length_b 4.1964
_cell_length_c 22.7366
_cell_angle_alpha 90.00
_cell_angle_beta 90.00
_cell_angle_gamma 120.00
loop_
_atom_site_label
_atom_site_fract_x
_atom_site_fract_y
_atom_site_fract_z
_atom_site_occupancy
Sr1 0.0000 0.0000 0.0000 1
La1 0.0000 0.0000 0.1716 1
Pd1 0.0000 0.0000 0.5803 1
Pd2 0.0000 0.0000 0.7604 1
```

***

Entry 9:
Here is a relaxed Pm6Dy3Tm2Th crystal from the Alexandria database. Energies are from PBE-GGA.

Calculated values
The energy of formation comes out at 0.031 eV per atom.

Cell and atoms, written as CIF:
```
data_Pm6Dy3Tm2Th
_space_group_name_H-M_alt 'C 1 2/m 1'
_space_group_IT_number 12
_space_group_name_Hall '-C 2y'
_cell_length_a 6.2244
_cell_length_b 10.7717
_cell_length_c 11.9041
_cell_angle_alpha 90.00
_cell_angle_beta 100.07
_cell_angle_gamma 90.00
loop_
_atom_site_label
_atom_site_fract_x
_atom_site_fract_y
_atom_site_fract_z
_atom_site_occupancy
Pm1 0.2468 0.0000 0.2516 1
Pm2 0.2487 0.1652 0.7487 1
Dy1 0.0000 0.1669 0.0000 1
Dy2 0.0000 0.5000 0.0000 1
Tm1 0.0000 0.3333 0.5000 1
Th1 0.0000 0.0000 0.5000 1
```

***

Entry 10:
Here is a relaxed NdGa8Co4 crystal from the Alexandria database. Energies are from PBE-GGA.

Calculated values
The energy of formation comes out at -0.337 eV per atom.

Cell and atoms, written as CIF:
```
data_NdGa8Co4
_space_group_name_H-M_alt 'I 4/m m m'
_space_group_IT_number 139
_space_group_name_Hall '-I 4 2'
_cell_length_a 8.5920
_cell_length_b 8.5920
_cell_length_c 5.1829
_cell_angle_alpha 90.00
_cell_angle_beta 90.00
_cell_angle_gamma 90.00
loop_
_atom_site_label
_atom_site_fract_x
_atom_site_fract_y
_atom_site_fract_z
_atom_site_occupancy
Nd1 0.0000 0.0000 0.0000 1
Ga1 0.0000 0.2255 0.5000 1
Ga2 0.0000 0.3420 0.0000 1
Co1 0.2500 0.2500 0.2500 1
```